This record from Alexandria via LeMat-Bulk describes crystalline YTl2B2O6 at its relaxed geometry. The functional is PBE-GGA.

```
YTl2B2O6
1.0
4.7573 -2.7444 0.0000
4.7573 2.7444 0.0000
-3.2132 0.0000 6.0584
Y Tl B O
1 2 2 6
direct
0.0000 0.0000 0.0000
0.2131 0.2131 0.6429
0.7869 0.7869 0.3571
0.4127 0.4127 0.2318
0.5873 0.5873 0.7682
0.2657 0.2657 0.2274
0.2673 0.7047 0.2325
0.2953 0.7327 0.7675
0.7047 0.2673 0.2325
0.7327 0.2953 0.7675
0.7343 0.7343 0.7726
```

Values from the calculation:
The calculation puts the uncorrected energy at -77.44 eV for the cell shown. The value obtained for the density is 6.459 g cm⁻³. The value obtained for the size of the total moment is 0.00 μB/f.u.



This record from Alexandria via LeMat-Bulk describes crystalline TlZnBO2 at its relaxed geometry. The functional is PBE-GGA.

```
TlZnBO2
1.0
4.0842 0.0000 0.0000
0.0000 4.0842 0.0000
0.0000 0.0000 5.9533
Tl Zn B O
1 1 1 2
direct
0.0000 0.0000 0.0000
0.0000 0.0000 0.5000
0.5000 0.5000 0.5000
0.0000 0.5000 0.0000
0.5000 0.0000 0.0000
```

Values from the calculation:
The calculation puts the uncorrected energy at -14.52 eV for the cell shown. The value obtained for the density is 5.227 g cm⁻³. The value obtained for the size of the total moment is 0.00 μB/f.u.



This record from Alexandria via LeMat-Bulk describes crystalline TlZn2B2O6 at its relaxed geometry. The functional is PBE-GGA.

```
TlZn2B2O6
1.0
5.1513 0.0000 0.0000
0.1088 5.4181 0.0000
1.9581 0.8668 5.9222
Tl Zn B O
1 2 2 6
direct
0.0000 0.0000 0.0000
0.2039 0.6944 0.4874
0.7961 0.3056 0.5126
0.3939 0.1938 0.2994
0.6061 0.8062 0.7006
0.2047 0.3618 0.3952
0.3121 0.9752 0.2443
0.3309 0.7574 0.7364
0.6691 0.2426 0.2636
0.6879 0.0248 0.7557
0.7953 0.6382 0.6048
```

Values from the calculation:
The calculation puts the uncorrected energy at -66.33 eV for the cell shown. The value obtained for the density is 4.549 g cm⁻³. The value obtained for the size of the total moment is 0.74 μB/f.u.



This record from Alexandria via LeMat-Bulk describes crystalline ZrTl2B2O6 at its relaxed geometry. The functional is PBE-GGA.

```
ZrTl2B2O6
1.0
2.6785 1.5464 6.8236
-2.6785 1.5464 6.8236
0.0000 -3.0929 6.8236
Zr Tl B O
1 2 2 6
direct
0.0000 0.0000 0.0000
0.2168 0.2168 0.2168
0.7832 0.7832 0.7832
0.3932 0.3932 0.3932
0.6068 0.6068 0.6068
0.2450 0.2450 0.6924
0.2450 0.6924 0.2450
0.3076 0.7550 0.7550
0.6924 0.2450 0.2450
0.7550 0.3076 0.7550
0.7550 0.7550 0.3076
```

Values from the calculation:
The calculation puts the uncorrected energy at -81.16 eV for the cell shown. The value obtained for the density is 6.047 g cm⁻³. The value obtained for the size of the total moment is 0.00 μB/f.u.



This record from Alexandria via LeMat-Bulk describes crystalline ZrTlB2O6 at its relaxed geometry. The functional is PBE-GGA.

```
ZrTlB2O6
1.0
3.8503 -4.9071 0.0000
3.8503 4.9071 0.0000
-2.1328 0.0000 6.4451
Zr Tl B O
2 2 4 12
direct
0.0724 0.9276 0.7500
0.9276 0.0724 0.2500
0.3942 0.6058 0.2500
0.6058 0.3942 0.7500
0.0907 0.3854 0.7414
0.3854 0.0907 0.2414
0.6146 0.9093 0.7586
0.9093 0.6146 0.2586
0.0290 0.8151 0.4118
0.0386 0.5853 0.7475
0.1849 0.9710 0.0882
0.2561 0.3455 0.8883
0.3455 0.2561 0.3883
0.4147 0.9614 0.7525
0.5853 0.0386 0.2475
0.6545 0.7439 0.6117
0.7439 0.6545 0.1117
0.8151 0.0290 0.9118
0.9614 0.4147 0.2525
0.9710 0.1849 0.5882
```

Values from the calculation:
The calculation puts the uncorrected energy at -153.12 eV for the cell shown. The value obtained for the density is 5.635 g cm⁻³. The value obtained for the size of the total moment is 0.00 μB/f.u.



This record from Alexandria via LeMat-Bulk describes crystalline TmBO3 at its relaxed geometry. The functional is PBE-GGA.

```
TmBO3
1.0
2.8391 1.6392 3.0503
-2.8391 1.6392 3.0503
0.0000 -3.2783 3.0503
Tm B O
1 1 3
direct
0.0000 0.0000 0.0000
0.7343 0.7343 0.7343
0.4810 0.8969 0.8969
0.8969 0.4810 0.8969
0.8969 0.8969 0.4810
```

Values from the calculation:
The calculation puts the uncorrected energy at -40.12 eV for the cell shown. The value obtained for the density is 4.440 g cm⁻³. The value obtained for the size of the total moment is 0.00 μB/f.u.